1.
VASP calculation (PBE) on a relaxed Fe4Ni2N crystal.

The value obtained for the energy relative to the elements, uncorrected is -0.01 eV per atom.

Lattice parameters (Å, degrees): 10.6213 10.6213 10.6213 90.00 90.00 90.00
Last column: nearest neighbours and their distance in Å.
Space group Fd-3m (No. 227, origin choice 2)
Symmetry-distinct sites (fractional):
Fe  0.0000  0.0000  0.0000 x16  6 Ni 2.31
Fe  0.0576  0.3750  0.8750 x48  2 N 1.97
Ni  0.0408  0.0408  0.2092 x32  6 Fe 2.31-2.50, 3 Ni 2.53
N  0.0000  0.0000  0.5000 x16  6 Fe 1.97



2.
VASP calculation (PBE) on a relaxed Fe2Ni3N4 crystal.

The value obtained for the energy relative to the elements, uncorrected is 0.27 eV per atom.

Lattice parameters (Å, degrees): 8.7654 6.9108 5.4981 90.00 93.88 90.00
Last column: nearest neighbours and their distance in Å.
Space group C2/c (No. 15)
Symmetry-distinct sites (fractional):
Fe  0.1968  0.1352  0.3527 x8  4 N 1.84-1.87
Ni  0.0000  0.1389  0.7500 x4  4 N 1.99-2.02
Ni  0.1152  0.3894  0.0122 x8  4 N 1.95-2.09
N  0.1009  0.3207  0.5298 x8  2 Fe 1.85-1.87, 3 Ni 1.95-2.01
N  0.1627  0.0927  0.0226 x8  2 Fe 1.84-1.87, 2 Ni 1.97-2.02



| no. | D(E_F) (states/eV/atom) |
| --- | --- |
| 1 | 0.8690 |
| 2 | 0.8215 |